Computed, not measured: an optimized crystal structure of CsYTl2F6 at the PBE-GGA level of DFT.

Output
Crystal system: triclinic
Formation energy (no corrections) in meV per atom: -2910
Calculated total energy in eV per atom: -5.238

The structure in POSCAR format:
```
CsYTl2F6
1.0
-3.1399 -6.0828 1.7884
3.8580 -5.3818 2.4901
-0.4519 -1.9817 6.4876
Cs Y Tl F
1 1 2 6
Direct
0.8161 0.8159 0.5520
0.3161 0.3162 0.0516
0.5422 0.5420 0.3740
0.0902 0.0900 0.7294
0.4848 0.2260 0.2989
0.2253 0.9904 0.3002
0.9901 0.4859 0.2983
0.4065 0.6422 0.8028
0.6424 0.1472 0.8040
0.1480 0.4059 0.8040
```